[1]
Material: AlMoSe4
Method: DFT, PBE-GGA
State: optimized geometry

Cell: 8.077 8.077 8.077 Å, 90.00 90.00 90.00°
Space group F-43m (No. 216)
Inequivalent atoms, fractional coordinates:
Al: 0.000 0.000 0.000 [4 per cell]
Mo: 0.250 0.250 0.750 [4 per cell]
Se: 0.124 0.124 0.376 [16 per cell]

Results
formation energy (no corrections)	0.954	eV per atom
total magnetic moment	4.28	μB per formula unit


[2]
Material: AlMoSe2
Method: DFT, PBE-GGA
State: optimized geometry

Cell: 8.359 3.300 5.260 Å, 90.00 96.45 90.00°
Space group C2/m (No. 12)
Inequivalent atoms, fractional coordinates:
Al: 0.000 0.000 0.000 [2 per cell]
Mo: 0.000 0.500 0.500 [2 per cell]
Se: 0.218 0.000 0.726 [4 per cell]

Results
formation energy (no corrections)	0.004	eV per atom
total magnetic moment	0.00	μB per formula unit